# 1
## Ba2AcI2O2 (PBE)

Data for a relaxed structure of Ba2AcI2O2.

a = 4.8652 Å, b = 4.8652 Å, c = 9.8800 Å
α = 104.25°, β = 104.25°, γ = 90.00°
Fractional positions:
Ba 0.3964 0.3964 0.7927
Ba 0.6036 0.6036 0.2073
Ac 0.0000 0.0000 0.0000
I 0.1858 0.1858 0.3715
I 0.8142 0.8142 0.6285
O 0.5000 0.0000 0.0000
O 0.0000 0.5000 0.0000

For the formation energy (no corrections), the calculation gives -2111 meV/atom. As for the crystal system: tetragonal.

---

# 2
## PmCd3Ni (PBE)

Data for a relaxed structure of PmCd3Ni.

a = 6.7877 Å, b = 5.8361 Å, c = 5.4725 Å
α = 90.00°, β = 88.28°, γ = 90.00°
Fractional positions:
Cd 0.7022 0.5035 0.8704
Cd 0.2978 0.4965 0.1296
Cd 0.2978 0.0035 0.1296
Cd 0.3835 0.2500 0.6002
Cd 0.7022 0.9965 0.8704
Cd 0.6165 0.7500 0.3998
Pm 0.8776 0.2500 0.3538
Pm 0.1224 0.7500 0.6462
Ni 0.9631 0.7500 0.1564
Ni 0.0369 0.2500 0.8436

As for the crystal system: monoclinic. The value obtained for the formation energy is -0.2441 eV per atom.